First-principles (PBE) data for Li8PO3 after structural relaxation, as listed in Alexandria.

a = 5.0289 Å, b = 5.0289 Å, c = 5.0289 Å
α = 90.00°, β = 90.00°, γ = 90.00°
Last column: nearest neighbours and their distance in Å.
Fractional positions:
Li: 0.2663 0.2663 0.2663  3 O 2.13, 1 P 2.32, 3 Li 2.35
Li: 0.7337 0.2663 0.7337  3 O 2.13, 1 P 2.32, 3 Li 2.35
Li: 0.7337 0.7337 0.2663  3 O 2.13, 1 P 2.32, 3 Li 2.35
O: 0.5000 0.5000 0.0000  8 Li 2.13
Li: 0.2663 0.7337 0.2663  3 O 2.13, 1 P 2.32, 3 Li 2.35
Li: 0.7337 0.2663 0.2663  3 O 2.13, 1 P 2.32, 3 Li 2.35
Li: 0.7337 0.7337 0.7337  3 O 2.13, 1 P 2.32, 3 Li 2.35
P: 0.0000 0.0000 0.0000  8 Li 2.32
Li: 0.2663 0.2663 0.7337  3 O 2.13, 1 P 2.32, 3 Li 2.35
O: 0.5000 0.0000 0.5000  8 Li 2.13
O: 0.0000 0.5000 0.5000  8 Li 2.13
Li: 0.2663 0.7337 0.7337  3 O 2.13, 1 P 2.32, 3 Li 2.35

Summary:
- raw formation energy (eV/f.u.) = -15.20
- total magnetic moment (μB/f.u.) = 1.03